A plane-wave DFT calculation with PBE was carried out for a relaxed structure of CaHgOs2.

Structure (POSCAR):
```
CaHgOs2
1.0
1.546 -2.374 0.000
1.546 2.374 0.000
0.000 0.000 9.738
Ca Hg Os
1 1 2
direct
0.000 0.000 0.000
0.000 0.000 0.500
0.500 0.500 0.251
0.500 0.500 0.749
```

Summary:
ΔH_f (0 K) in meV/atom: 921
Space group: Cmmm, No. 65
V in Å³ per cell: 71.5

***

A plane-wave DFT calculation with PBE was carried out for a relaxed structure of CaHgOs.

Structure (POSCAR):
```
CaHgOs
1.0
-1.433 2.233 4.715
1.433 -2.233 4.715
1.433 2.233 -4.715
Ca Hg Os
1 1 1
direct
0.000 0.000 0.000
0.682 0.682 0.000
0.329 0.329 0.000
```

Summary:
ΔH_f (0 K) in meV/atom: 508
Space group: Imm2, No. 44
V in Å³ per cell: 60.3
ΔE to the lowest computed polymorph in meV per atom: 48

***

A plane-wave DFT calculation with PBE was carried out for a relaxed structure of Ca2HgOs2.

Structure (POSCAR):
```
Ca2HgOs2
1.0
-2.837 2.837 3.919
2.837 -2.837 3.919
2.837 2.837 -3.919
Ca Hg Os
2 1 2
direct
0.250 0.750 0.500
0.750 0.250 0.500
0.000 0.000 0.000
0.352 0.352 0.000
0.648 0.648 0.000
```

Summary:
ΔH_f (0 K) in meV/atom: 712
Space group: I4/mmm, No. 139
V in Å³ per cell: 126.2
ΔE to the lowest computed polymorph in meV per atom: 464

***

A plane-wave DFT calculation with PBE was carried out for a relaxed structure of CaHgOs2.

Structure (POSCAR):
```
CaHgOs2
1.0
-1.983 1.983 4.672
1.983 -1.983 4.672
1.983 1.983 -4.672
Ca Hg Os
1 1 2
direct
0.000 0.000 0.000
0.500 0.500 0.000
0.250 0.750 0.500
0.750 0.250 0.500
```

Summary:
ΔH_f (0 K) in meV/atom: 818
Space group: I4/mmm, No. 139
V in Å³ per cell: 73.5

***

A plane-wave DFT calculation with PBE was carried out for a relaxed structure of CaHgOs2.

Structure (POSCAR):
```
CaHgOs2
1.0
2.818 0.000 0.000
0.000 2.818 0.000
0.000 0.000 9.230
Ca Hg Os
1 1 2
direct
0.000 0.000 0.000
0.000 0.000 0.500
0.500 0.500 0.259
0.500 0.500 0.741
```

Summary:
ΔH_f (0 K) in meV/atom: 958
Space group: P4/mmm, No. 123
V in Å³ per cell: 73.3

***

A plane-wave DFT calculation with PBE was carried out for a relaxed structure of CaHgOs2.

Structure (POSCAR):
```
CaHgOs2
1.0
0.000 3.305 3.305
3.305 0.000 3.305
3.305 3.305 0.000
Ca Hg Os
1 1 2
direct
0.000 0.000 0.000
0.750 0.750 0.750
0.250 0.250 0.250
0.500 0.500 0.500
```

Summary:
ΔH_f (0 K) in meV/atom: 736
Space group: F-43m, No. 216
V in Å³ per cell: 72.2

***

A plane-wave DFT calculation with PBE was carried out for a relaxed structure of CaHgOs3.

Structure (POSCAR):
```
CaHgOs3
1.0
4.996 0.000 0.000
0.000 4.996 0.000
0.000 0.000 4.996
Ca Hg Os
1 1 3
direct
0.000 0.000 0.000
0.500 0.500 0.500
0.000 0.500 0.500
0.500 0.000 0.500
0.500 0.500 0.000
```

Summary:
ΔH_f (0 K) in meV/atom: 2505
Space group: Pm-3m, No. 221
V in Å³ per cell: 124.7
ΔE to the lowest computed polymorph in meV per atom: 0

***

A plane-wave DFT calculation with PBE was carried out for a relaxed structure of CaHgOs.

Structure (POSCAR):
```
CaHgOs
1.0
-1.497 1.497 6.762
1.497 -1.497 6.762
1.497 1.497 -6.762
Ca Hg Os
1 1 1
direct
0.000 0.000 0.000
0.314 0.314 0.000
0.659 0.659 0.000
```

Summary:
ΔH_f (0 K) in meV/atom: 505
Space group: I4mm, No. 107
V in Å³ per cell: 60.6
ΔE to the lowest computed polymorph in meV per atom: 45

***

A plane-wave DFT calculation with PBE was carried out for a relaxed structure of CaHgOs2.

Structure (POSCAR):
```
CaHgOs2
1.0
-2.108 2.108 10.091
2.108 -2.108 10.091
2.108 2.108 -10.091
Ca Hg Os
2 2 4
direct
0.000 0.000 0.000
0.750 0.250 0.500
0.250 0.750 0.500
0.500 0.500 0.000
0.239 0.625 0.114
0.375 0.489 0.614
0.511 0.125 0.886
0.875 0.761 0.386
```

Summary:
ΔH_f (0 K) in meV/atom: 724
Space group: I-42d, No. 122
V in Å³ per cell: 179.3

***

A plane-wave DFT calculation with PBE was carried out for a relaxed structure of CaHgOs.

Structure (POSCAR):
```
CaHgOs
1.0
0.000 3.334 3.334
3.334 0.000 3.334
3.334 3.334 0.000
Ca Hg Os
1 1 1
direct
0.000 0.000 0.000
0.500 0.500 0.500
0.250 0.250 0.250
```

Summary:
ΔH_f (0 K) in meV/atom: 817
Space group: F-43m, No. 216
V in Å³ per cell: 74.1
ΔE to the lowest computed polymorph in meV per atom: 357

***

A plane-wave DFT calculation with PBE was carried out for a relaxed structure of CaHgOs3.

Structure (POSCAR):
```
CaHgOs3
1.0
4.735 0.000 0.000
0.000 4.735 0.000
0.000 0.000 4.735
Ca Hg Os
1 1 3
direct
0.000 0.000 0.000
0.500 0.500 0.500
0.000 0.000 0.500
0.000 0.500 0.000
0.500 0.000 0.000
```

Summary:
ΔH_f (0 K) in meV/atom: 3082
Space group: Pm-3m, No. 221
V in Å³ per cell: 106.2
ΔE to the lowest computed polymorph in meV per atom: 578

***

A plane-wave DFT calculation with PBE was carried out for a relaxed structure of CaHgOs2.

Structure (POSCAR):
```
CaHgOs2
1.0
3.154 0.000 0.000
0.000 4.974 0.000
-0.271 0.000 4.880
Ca Hg Os
1 1 2
direct
0.000 0.000 0.000
0.500 0.000 0.500
0.375 0.500 0.758
0.625 0.500 0.242
```

Summary:
ΔH_f (0 K) in meV/atom: 660
Space group: P2/m, No. 10
V in Å³ per cell: 76.6

***

A plane-wave DFT calculation with PBE was carried out for a relaxed structure of CaHgOs2.

Structure (POSCAR):
```
CaHgOs2
1.0
3.986 0.000 0.000
0.000 3.986 0.000
0.000 0.000 4.534
Ca Hg Os
1 1 2
direct
0.000 0.000 0.000
0.500 0.500 0.000
0.000 0.500 0.500
0.500 0.000 0.500
```

Summary:
ΔH_f (0 K) in meV/atom: 755
Space group: P4/mmm, No. 123
V in Å³ per cell: 72.0

***

A plane-wave DFT calculation with PBE was carried out for a relaxed structure of CaHgOs2.

Structure (POSCAR):
```
CaHgOs2
1.0
1.457 0.841 9.733
-1.457 0.841 9.733
0.000 -1.682 9.733
Ca Hg Os
1 1 2
direct
0.000 0.000 0.000
0.500 0.500 0.500
0.248 0.248 0.248
0.752 0.752 0.752
```

Summary:
ΔH_f (0 K) in meV/atom: 902
Space group: R-3m, No. 166
V in Å³ per cell: 71.5

***

A plane-wave DFT calculation with PBE was carried out for a relaxed structure of CaHgOs2.

Structure (POSCAR):
```
CaHgOs2
1.0
2.964 0.000 0.000
0.000 2.964 0.000
0.000 0.000 8.599
Ca Hg Os
1 1 2
direct
0.000 0.000 0.000
0.500 0.500 0.297
0.000 0.000 0.558
0.500 0.500 0.732
```

Summary:
ΔH_f (0 K) in meV/atom: 287
Space group: P4mm, No. 99
V in Å³ per cell: 75.5

***

A plane-wave DFT calculation with PBE was carried out for a relaxed structure of CaHgOs2.

Structure (POSCAR):
```
CaHgOs2
1.0
3.517 0.000 0.000
0.000 3.517 0.000
0.000 0.000 6.406
Ca Hg Os
1 1 2
direct
0.000 0.000 0.000
0.000 0.000 0.500
0.500 0.500 0.300
0.500 0.500 0.700
```

Summary:
ΔH_f (0 K) in meV/atom: 1044
Space group: P4/mmm, No. 123
V in Å³ per cell: 79.2

***

A plane-wave DFT calculation with PBE was carried out for a relaxed structure of CaHgOs2.

Structure (POSCAR):
```
CaHgOs2
1.0
5.146 -1.454 0.000
5.146 1.454 0.000
-1.361 0.000 5.147
Ca Hg Os
1 1 2
direct
0.000 0.000 0.000
0.500 0.500 0.500
0.233 0.233 0.798
0.767 0.767 0.202
```

Summary:
ΔH_f (0 K) in meV/atom: 673
Space group: C2/m, No. 12
V in Å³ per cell: 77.0

***

A plane-wave DFT calculation with PBE was carried out for a relaxed structure of CaHgOs2.

Structure (POSCAR):
```
CaHgOs2
1.0
-2.111 2.478 3.849
2.111 -2.478 3.849
2.111 2.478 -3.849
Ca Hg Os
1 1 2
direct
0.000 0.000 0.000
0.280 0.780 0.500
0.555 0.555 0.000
0.705 0.205 0.500
```

Summary:
ΔH_f (0 K) in meV/atom: 522
Space group: Imm2, No. 44
V in Å³ per cell: 80.5

***

A plane-wave DFT calculation with PBE was carried out for a relaxed structure of CaHgOs2.

Structure (POSCAR):
```
CaHgOs2
1.0
3.027 0.000 0.000
0.000 4.848 0.000
0.000 0.000 4.869
Ca Hg Os
1 1 2
direct
0.000 0.000 0.000
0.500 0.000 0.500
0.000 0.500 0.500
0.500 0.500 0.000
```

Summary:
ΔH_f (0 K) in meV/atom: 717
Space group: Pmmm, No. 47
V in Å³ per cell: 71.4

***

A plane-wave DFT calculation with PBE was carried out for a relaxed structure of CaHgOs.

Structure (POSCAR):
```
CaHgOs
1.0
0.000 3.397 3.397
3.397 0.000 3.397
3.397 3.397 0.000
Ca Hg Os
1 1 1
direct
0.000 0.000 0.000
0.750 0.750 0.750
0.250 0.250 0.250
```

Summary:
ΔH_f (0 K) in meV/atom: 1294
Space group: F-43m, No. 216
V in Å³ per cell: 78.4
ΔE to the lowest computed polymorph in meV per atom: 834

***

A plane-wave DFT calculation with PBE was carried out for a relaxed structure of CaHgOs2Pd.

Structure (POSCAR):
```
CaHgOs2Pd
1.0
4.879 0.000 0.000
0.000 4.879 0.000
0.000 0.000 5.069
Ca Hg Os Pd
1 1 2 1
direct
0.000 0.000 0.000
0.500 0.500 0.000
0.000 0.500 0.500
0.500 0.000 0.500
0.500 0.500 0.500
```

Summary:
ΔH_f (0 K) in meV/atom: 1405
Space group: P4/mmm, No. 123
V in Å³ per cell: 120.7

***

A plane-wave DFT calculation with PBE was carried out for a relaxed structure of CaHg2OsRh.

Structure (POSCAR):
```
CaHg2OsRh
1.0
5.151 0.000 0.000
0.000 5.151 0.000
0.000 0.000 5.131
Ca Hg Os Rh
1 2 1 1
direct
0.000 0.000 0.000
0.000 0.500 0.500
0.500 0.000 0.500
0.500 0.500 0.000
0.000 0.000 0.500
```

Summary:
ΔH_f (0 K) in meV/atom: 1104
Space group: P4/mmm, No. 123
V in Å³ per cell: 136.1

***

A plane-wave DFT calculation with PBE was carried out for a relaxed structure of CaHgOs2Se.

Structure (POSCAR):
```
CaHgOs2Se
1.0
4.600 0.000 0.000
0.000 4.600 0.000
0.000 0.000 5.283
Ca Hg Os Se
1 1 2 1
direct
0.000 0.000 0.000
0.500 0.500 0.000
0.000 0.500 0.500
0.500 0.000 0.500
0.000 0.000 0.500
```

Summary:
Space group: P4/mmm, No. 123
V in Å³ per cell: 111.8
Energy relative to the elements, uncorrected in eV per formula unit: 4.6

***

A plane-wave DFT calculation with PBE was carried out for a relaxed structure of Ca2HgOsW.

Structure (POSCAR):
```
Ca2HgOsW
1.0
5.438 0.000 0.000
0.000 5.438 0.000
0.000 0.000 5.031
Ca Hg Os W
2 1 1 1
direct
0.000 0.500 0.000
0.500 0.000 0.000
0.000 0.000 0.000
0.000 0.000 0.500
0.500 0.500 0.500
```

Summary:
ΔH_f (0 K) in meV/atom: 1821
Space group: P4/mmm, No. 123
V in Å³ per cell: 148.8

***

A plane-wave DFT calculation with PBE was carried out for a relaxed structure of CaZrHg2Os.

Structure (POSCAR):
```
CaZrHg2Os
1.0
5.347 0.000 0.000
0.000 5.347 0.000
0.000 0.000 4.873
Ca Zr Hg Os
1 1 2 1
direct
0.000 0.000 0.000
0.500 0.500 0.000
0.000 0.500 0.500
0.500 0.000 0.500
0.500 0.500 0.500
```

Summary:
ΔH_f (0 K) in meV/atom: 289
Space group: P4/mmm, No. 123
V in Å³ per cell: 139.3

***

A plane-wave DFT calculation with PBE was carried out for a relaxed structure of Ca4HgP2.

Structure (POSCAR):
```
Ca4HgP2
1.0
-4.334 4.801 5.287
4.334 -4.801 5.287
4.334 4.801 -5.287
Ca Hg P
8 2 4
direct
0.236 0.285 0.549
0.236 0.687 0.951
0.306 0.242 0.064
0.322 0.758 0.564
0.678 0.242 0.436
0.694 0.758 0.936
0.764 0.313 0.049
0.764 0.715 0.451
0.055 0.805 0.250
0.945 0.195 0.750
0.000 0.500 0.500
0.500 0.000 0.000
0.500 0.500 0.000
0.500 0.500 0.500
```

Summary:
ΔH_f (0 K) in meV/atom: -792
Space group: Imma, No. 74
V in Å³ per cell: 440.0

***

A plane-wave DFT calculation with PBE was carried out for a relaxed structure of CaHg2P.

Structure (POSCAR):
```
CaHg2P
1.0
4.064 0.000 0.000
0.008 4.211 0.000
1.995 1.417 11.519
Ca Hg P
2 4 2
direct
0.063 0.231 0.371
0.937 0.769 0.629
0.200 0.123 0.092
0.340 0.409 0.828
0.660 0.591 0.172
0.800 0.877 0.908
0.463 0.310 0.575
0.537 0.690 0.425
```

Summary:
ΔH_f (0 K) in meV/atom: -454
Space group: P-1, No. 2
V in Å³ per cell: 197.2

***

A plane-wave DFT calculation with PBE was carried out for a relaxed structure of CaHgP.

Structure (POSCAR):
```
CaHgP
1.0
4.322 0.000 0.000
-2.161 3.743 0.000
0.000 0.000 4.446
Ca Hg P
1 1 1
direct
0.000 0.000 0.000
0.667 0.333 0.431
0.333 0.667 0.645
```

Summary:
ΔH_f (0 K) in meV/atom: -486
Space group: P3m1, No. 156
V in Å³ per cell: 71.9
ΔE to the lowest computed polymorph in meV per atom: 0

***

A plane-wave DFT calculation with PBE was carried out for a relaxed structure of Ca3HgP.

Structure (POSCAR):
```
Ca3HgP
1.0
5.471 0.000 0.000
0.000 5.471 0.000
0.000 0.000 5.471
Ca Hg P
3 1 1
direct
0.000 0.000 0.500
0.000 0.500 0.000
0.500 0.000 0.000
0.500 0.500 0.500
0.000 0.000 0.000
```

Summary:
ΔH_f (0 K) in meV/atom: -631
Space group: Pm-3m, No. 221
V in Å³ per cell: 163.8
ΔE to the lowest computed polymorph in meV per atom: 0